# 1
First-principles (GGA-PBE) data for a relaxed structure of RbBeAsPd, as listed in OQMD via LeMat-Bulk.

Lattice parameters (Å, degrees): 4.8203 4.8203 4.8203 60.00 60.00 60.00
Atoms (fractional coordinates):
Pd  0.2500  0.2500  0.2500
Rb  0.5000  0.5000  0.5000
Be  0.7500  0.7500  0.7500
As  0.0000  0.0000  0.0000

Calculated values
**Crystal system**: cubic
**Total DFT energy (no corrections)**: -11.99 eV/cell
**Space-group type**: F-43m (216)

***

# 2
First-principles (GGA-PBE) data for a relaxed structure of RbNbCoSe3, as listed in OQMD via LeMat-Bulk.

Lattice parameters (Å, degrees): 8.3001 8.3001 9.7344 90.00 90.00 154.78
Last column: magnetic moment on the atom in μB.
Atoms (fractional coordinates):
Se  0.0694  0.9306  0.2500  0.05
Se  0.3865  0.6135  0.0621  0.03
Se  0.9306  0.0694  0.7500  0.05
Se  0.3865  0.6135  0.4379  0.03
Se  0.6135  0.3865  0.9379  0.03
Se  0.6135  0.3865  0.5621  0.03
Co  0.4767  0.5233  0.2500  1.12
Co  0.5233  0.4767  0.7500  1.12
Rb  0.2536  0.7464  0.7500  0.00
Rb  0.7464  0.2536  0.2500  0.00
Nb  0.0000  0.0000  0.0000  -0.26
Nb  0.0000  0.0000  0.5000  -0.26

Calculated values
**Crystal system**: orthorhombic
**Total DFT energy (no corrections)**: -66.41 eV/cell
**Space-group type**: Cmcm (63)

***

# 3
First-principles (GGA-PBE) data for a relaxed structure of CdReO3, as listed in OQMD via LeMat-Bulk.

Lattice parameters (Å, degrees): 3.7760 3.7760 5.3656 90.00 90.00 90.00
Last column: magnetic moment on the atom in μB.
Atoms (fractional coordinates):
O  0.0000  0.5000  0.9746  0.02
O  0.5000  0.5000  0.2918  0.27
O  0.5000  0.0000  0.9746  0.00
Cd  0.5000  0.5000  0.6599  -0.01
Re  0.0000  0.0000  0.9991  0.13

Calculated values
**Crystal system**: tetragonal
**Total DFT energy (no corrections)**: -29.51 eV/cell
**Space-group type**: P4mm (99)

***

# 4
First-principles (GGA-PBE) data for a relaxed structure of Dy2ErMgIr4, as listed in OQMD via LeMat-Bulk.

Lattice parameters (Å, degrees): 4.7281 4.7281 6.6830 90.00 90.00 90.00
Atoms (fractional coordinates):
Er  0.0000  0.0000  0.0000
Mg  0.5000  0.5000  0.5000
Ir  0.0000  0.5000  0.2538
Ir  0.0000  0.5000  0.7462
Ir  0.5000  0.0000  0.2538
Ir  0.5000  0.0000  0.7462
Dy  0.5000  0.5000  0.0000
Dy  0.0000  0.0000  0.5000

Calculated values
**Crystal system**: tetragonal
**Total DFT energy (no corrections)**: -56.35 eV/cell
**Space-group type**: P4/mmm (123)

***

# 5
First-principles (GGA-PBE) data for a relaxed structure of Zr2TcOs, as listed in OQMD via LeMat-Bulk.

Lattice parameters (Å, degrees): 6.1091 7.9666 6.0477 90.00 90.00 90.00
Atoms (fractional coordinates):
Zr  0.0401  0.4703  0.2483
Zr  0.9599  0.5297  0.7517
Zr  0.4599  0.0297  0.7483
Zr  0.5401  0.5297  0.2517
Zr  0.4599  0.4703  0.7483
Zr  0.9599  0.9703  0.7517
Zr  0.0401  0.0297  0.2483
Zr  0.5401  0.9703  0.2517
Os  0.6696  0.7500  0.9219
Os  0.8304  0.7500  0.4219
Os  0.3304  0.2500  0.0781
Os  0.1696  0.2500  0.5781
Tc  0.7980  0.2500  0.9693
Tc  0.2981  0.7500  0.5307
Tc  0.2019  0.7500  0.0307
Tc  0.7020  0.2500  0.4693

Calculated values
**Crystal system**: orthorhombic
**Total DFT energy (no corrections)**: -154.97 eV/cell
**Space-group type**: Pnma (62)
**ΔH_f (0 K)**: -0.015 eV/atom

***

# 6
First-principles (GGA-PBE) data for a relaxed structure of HfCoRe, as listed in OQMD via LeMat-Bulk.

Lattice parameters (Å, degrees): 4.1641 4.1641 4.1641 60.00 60.00 60.00
Atoms (fractional coordinates):
Co  0.0000  0.0000  0.0000
Hf  0.2500  0.2500  0.2500
Re  0.7500  0.7500  0.7500

Calculated values
**Crystal system**: cubic
**Total DFT energy (no corrections)**: -28.62 eV/cell
**Space-group type**: F-43m (216)
**ΔH_f (0 K)**: 0.289 eV/atom

***

# 7
First-principles (GGA-PBE) data for a relaxed structure of Dy2Sn, as listed in OQMD via LeMat-Bulk.

Lattice parameters (Å, degrees): 9.4475 9.4475 9.4475 60.00 60.00 60.00
Atoms (fractional coordinates):
Dy  0.3750  0.3750  0.8750
Dy  0.3750  0.3750  0.3750
Dy  0.8750  0.3750  0.3750
Dy  0.3750  0.8750  0.3750
Sn  0.2500  0.2500  0.2500
Sn  0.5000  0.5000  0.5000

Calculated values
**Crystal system**: cubic
**Total DFT energy (no corrections)**: -18.78 eV/cell
**Space-group type**: Fd-3m (227)

***

# 8
First-principles (GGA-PBE) data for a relaxed structure of ErBeO3, as listed in OQMD via LeMat-Bulk.

Lattice parameters (Å, degrees): 4.8897 4.8897 4.8897 62.59 62.59 62.59
Atoms (fractional coordinates):
O  0.8082  0.2500  0.6918
O  0.3082  0.1918  0.7500
O  0.6918  0.8082  0.2500
O  0.1918  0.7500  0.3082
O  0.2500  0.6918  0.8082
O  0.7500  0.3082  0.1918
Er  0.2500  0.2500  0.2500
Er  0.7500  0.7500  0.7500
Be  0.0000  0.0000  0.0000
Be  0.5000  0.5000  0.5000

Calculated values
**Crystal system**: trigonal
**Total DFT energy (no corrections)**: -71.31 eV/cell
**Space-group type**: R-3c (167)

***

# 9
First-principles (GGA-PBE) data for a relaxed structure of AuI2, as listed in OQMD via LeMat-Bulk.

Lattice parameters (Å, degrees): 7.0929 8.1570 8.6781 102.99 113.39 106.98
Atoms (fractional coordinates):
I  0.0416  0.8304  0.2593
I  0.9584  0.6696  0.7407
I  0.5226  0.3195  0.7594
I  0.0416  0.3304  0.2593
I  0.4774  0.6805  0.2406
I  0.9584  0.1696  0.7407
I  0.4774  0.1805  0.2406
I  0.5226  0.8195  0.7594
Au  0.2414  0.4952  0.7519
Au  0.2413  0.9952  0.7520
Au  0.7586  0.5048  0.2481
Au  0.7587  0.0048  0.2480

Calculated values
**Crystal system**: triclinic
**Total DFT energy (no corrections)**: -25.58 eV/cell
**Space-group type**: P-1 (2)

***

# 10
First-principles (GGA-PBE) data for a relaxed structure of BaPmO3, as listed in OQMD via LeMat-Bulk.

Lattice parameters (Å, degrees): 6.4982 6.4982 6.4982 60.87 60.87 60.87
Atoms (fractional coordinates):
O  0.0814  0.7500  0.4186
O  0.2500  0.5814  0.9186
O  0.9186  0.2500  0.5814
O  0.5814  0.9186  0.2500
O  0.4186  0.0814  0.7500
O  0.7500  0.4186  0.0814
Pm  0.7500  0.7500  0.7500
Pm  0.2500  0.2500  0.2500
Ba  0.5000  0.5000  0.5000
Ba  0.0000  0.0000  0.0000

Calculated values
**Crystal system**: trigonal
**Total DFT energy (no corrections)**: -65.55 eV/cell
**Space-group type**: R-3c (167)

***

# 11
First-principles (GGA-PBE) data for a relaxed structure of TaCuTcPb, as listed in OQMD via LeMat-Bulk.

Lattice parameters (Å, degrees): 4.5842 4.5842 4.5842 60.00 60.00 60.00
Atoms (fractional coordinates):
Tc  0.2500  0.2500  0.2500
Cu  0.7500  0.7500  0.7500
Pb  0.0000  0.0000  0.0000
Ta  0.5000  0.5000  0.5000

Calculated values
**Crystal system**: cubic
**Total DFT energy (no corrections)**: -28.04 eV/cell
**Space-group type**: F-43m (216)

***

# 12
First-principles (GGA-PBE) data for a relaxed structure of Dy7Fe2Te2, as listed in OQMD via LeMat-Bulk.

Lattice parameters (Å, degrees): 9.3806 9.3806 9.3806 156.13 65.76 119.74
Last column: magnetic moment on the atom in μB.
Atoms (fractional coordinates):
Fe  0.1700  0.4076  0.7624  1.27
Fe  0.6451  0.4076  0.2376  1.27
Dy  0.0281  0.8943  0.1339  -0.18
Dy  0.4760  0.4760  0.0000  0.12
Dy  0.4146  0.1004  0.3142  -0.20
Dy  0.7861  0.1004  0.6858  -0.20
Dy  0.0923  0.7416  0.3506  -0.12
Dy  0.3910  0.7416  0.6494  -0.12
Dy  0.7604  0.8943  0.8661  -0.18
Te  0.7404  0.2404  0.5000  0.01
Te  0.1420  0.1420  0.0000  0.01

Calculated values
**Crystal system**: orthorhombic
**Total DFT energy (no corrections)**: -60.45 eV/cell
**Space-group type**: Imm2 (44)

***

What is the total DFT energy (no corrections) in the twelfth record? -60.45 eV/cell

***

Which value of total DFT energy (no corrections) does entry 8 give? -71.31 eV/cell

***

Repeat the third record exactly.
First-principles (GGA-PBE) data for a relaxed structure of CdReO3, as listed in OQMD via LeMat-Bulk.

Lattice parameters (Å, degrees): 3.7760 3.7760 5.3656 90.00 90.00 90.00
Last column: magnetic moment on the atom in μB.
Atoms (fractional coordinates):
O  0.0000  0.5000  0.9746  0.02
O  0.5000  0.5000  0.2918  0.27
O  0.5000  0.0000  0.9746  0.00
Cd  0.5000  0.5000  0.6599  -0.01
Re  0.0000  0.0000  0.9991  0.13

Calculated values
**Crystal system**: tetragonal
**Total DFT energy (no corrections)**: -29.51 eV/cell
**Space-group type**: P4mm (99)

***

Repeat the fourth record exactly.
First-principles (GGA-PBE) data for a relaxed structure of Dy2ErMgIr4, as listed in OQMD via LeMat-Bulk.

Lattice parameters (Å, degrees): 4.7281 4.7281 6.6830 90.00 90.00 90.00
Atoms (fractional coordinates):
Er  0.0000  0.0000  0.0000
Mg  0.5000  0.5000  0.5000
Ir  0.0000  0.5000  0.2538
Ir  0.0000  0.5000  0.7462
Ir  0.5000  0.0000  0.2538
Ir  0.5000  0.0000  0.7462
Dy  0.5000  0.5000  0.0000
Dy  0.0000  0.0000  0.5000

Calculated values
**Crystal system**: tetragonal
**Total DFT energy (no corrections)**: -56.35 eV/cell
**Space-group type**: P4/mmm (123)